1.
First-principles (GGA+U) data for crystalline Lu2Co2O5 at its relaxed geometry, as listed in the Open Quantum Materials Database.

Cell: 3.8231 3.8231 8.3354 Å, 90.00 90.00 90.00°
Closest atoms and distances in Å follow each position.
Element x y z (fractional)
Lu  0.0000  0.0000  0.2463  5 O 2.08-2.11
Lu  0.0000  0.0000  0.7537  5 O 2.08-2.11
Co  0.5000  0.5000  0.0000  8 O 2.28
Co  0.5000  0.5000  0.5000  4 O 2.70
O  0.0000  0.0000  0.5000  2 Lu 2.11
O  0.0000  0.5000  0.1482  2 Lu 2.08, 2 Co 2.28
O  0.0000  0.5000  0.8518  2 Lu 2.08, 2 Co 2.28
O  0.5000  0.0000  0.1482  2 Lu 2.08, 2 Co 2.28
O  0.5000  0.0000  0.8518  2 Lu 2.08, 2 Co 2.28

Values from the calculation:
magnetic moment: 4.0 μB per cell
raw total energy: -6.59 eV/atom
E above lowest polymorph: 0.299 eV/atom


2.
First-principles (GGA+U) data for crystalline Lu2CoO4 at its relaxed geometry, as listed in the Open Quantum Materials Database.

Cell: 6.4067 6.4067 6.4067 Å, 60.00 60.00 60.00°
Closest atoms and distances in Å follow each position.
Element x y z (fractional)
Lu  0.0000  0.0000  0.0000  6 O 2.20
Lu  0.0000  0.0000  0.5000  6 O 2.20
Lu  0.0000  0.5000  0.0000  6 O 2.20
Lu  0.5000  0.0000  0.0000  6 O 2.20
Co  0.3750  0.3750  0.3750  4 O 2.07
Co  0.6250  0.6250  0.6250  4 O 2.07
O  0.2292  0.7569  0.7569  1 Co 2.07, 3 Lu 2.20
O  0.2431  0.2431  0.2431  1 Co 2.07, 3 Lu 2.20
O  0.2431  0.2431  0.7708  1 Co 2.07, 3 Lu 2.20
O  0.2431  0.7708  0.2431  1 Co 2.07, 3 Lu 2.20
O  0.7569  0.2292  0.7569  1 Co 2.07, 3 Lu 2.20
O  0.7569  0.7569  0.2292  1 Co 2.07, 3 Lu 2.20
O  0.7569  0.7569  0.7569  1 Co 2.07, 3 Lu 2.20
O  0.7708  0.2431  0.2431  1 Co 2.07, 3 Lu 2.20

Values from the calculation:
magnetic moment: 6.0 μB per cell
raw total energy: -7.67 eV/atom


Number 1: calculated volume 13.54 A^3/atom. Number 2: calculated volume 13.28 A^3/atom.